Record 1
# PBE Mg2CrRu, optimized geometry
# * formation energy from the elements: 1.6 eV/f.u.
# * E: -5.1189 eV per atom
# * DOS(E_F): 1.219 states/eV per atom
# * size of the total moment: 0.671 μB/atom
data_Mg2CrRu
_cell_length_a 2.8556
_cell_length_b 2.8556
_cell_length_c 27.5281
_cell_angle_alpha 90.00
_cell_angle_beta 90.00
_cell_angle_gamma 120.00
_space_group_name_H-M_alt 'R -3 m'
_space_group_IT_number 166
_space_group_name_Hall '-R 3 2"'
loop_
_atom_site_label
_atom_site_type_symbol
_atom_site_fract_x
_atom_site_fract_y
_atom_site_fract_z
_atom_site_occupancy
Mg1 Mg 0.0000 0.0000 0.2466 1
Cr1 Cr 0.0000 0.0000 0.0000 1
Ru1 Ru 0.0000 0.0000 0.5000 1

***

Record 2
# PBE LaCuNi2, optimized geometry
# * formation energy from the elements: 0.1 eV/f.u.
# * E: -5.1256 eV per atom
# * DOS(E_F): 0.955 states/eV per atom
# * size of the total moment: 0.000 μB/atom
data_LaCuNi2
_cell_length_a 6.4488
_cell_length_b 6.4488
_cell_length_c 6.4488
_cell_angle_alpha 90.00
_cell_angle_beta 90.00
_cell_angle_gamma 90.00
_space_group_name_H-M_alt 'F m -3 m'
_space_group_IT_number 225
_space_group_name_Hall '-F 4 2 3'
loop_
_atom_site_label
_atom_site_type_symbol
_atom_site_fract_x
_atom_site_fract_y
_atom_site_fract_z
_atom_site_occupancy
La1 La 0.0000 0.0000 0.0000 1
Cu1 Cu 0.0000 0.0000 0.5000 1
Ni1 Ni 0.2500 0.2500 0.2500 1

***

Record 3
# PBE YAgGe2, optimized geometry
# * formation energy from the elements: -0.7 eV/f.u.
# * E: -4.8021 eV per atom
# * DOS(E_F): 0.225 states/eV per atom
# * size of the total moment: 0.000 μB/atom
data_YAgGe2
_cell_length_a 4.5628
_cell_length_b 4.5628
_cell_length_c 17.9779
_cell_angle_alpha 90.00
_cell_angle_beta 90.00
_cell_angle_gamma 90.00
_space_group_name_H-M_alt 'I -4 2 d'
_space_group_IT_number 122
_space_group_name_Hall 'I -4 2bw'
loop_
_atom_site_label
_atom_site_type_symbol
_atom_site_fract_x
_atom_site_fract_y
_atom_site_fract_z
_atom_site_occupancy
Y1 Y 0.0000 0.0000 0.0000 1
Ag1 Ag 0.0000 0.0000 0.5000 1
Ge1 Ge 0.1713 0.2500 0.6250 1

***

Record 4
# PBE TbAl3Zn2, optimized geometry
# * formation energy from the elements: -1.6 eV/f.u.
# * E: -3.3318 eV per atom
# * DOS(E_F): 0.294 states/eV per atom
# * size of the total moment: 0.000 μB/atom
data_TbAl3Zn2
_cell_length_a 15.6225
_cell_length_b 4.3353
_cell_length_c 6.7592
_cell_angle_alpha 90.00
_cell_angle_beta 106.16
_cell_angle_gamma 90.00
_space_group_name_H-M_alt 'C 1 2/m 1'
_space_group_IT_number 12
loop_
_space_group_symop_operation_xyz
'x,y,z'
'-x,-y,-z'
'-x,y,-z'
'x,-y,z'
'x+1/2,y+1/2,z'
'-x+1/2,-y+1/2,-z'
'-x+1/2,y+1/2,-z'
'x+1/2,-y+1/2,z'
loop_
_atom_site_label
_atom_site_type_symbol
_atom_site_fract_x
_atom_site_fract_y
_atom_site_fract_z
_atom_site_occupancy
Tb1 Tb 0.1169 0.0000 0.1848 1
Al1 Al 0.0671 0.0000 0.6837 1
Al2 Al 0.1222 0.5000 0.5046 1
Al3 Al 0.1975 0.5000 0.9244 1
Zn1 Zn 0.0249 0.5000 0.8400 1
Zn2 Zn 0.2362 0.0000 0.6589 1

***

Record 5
# PBE ScMnBr3, optimized geometry
# * E: -4.6761 eV per atom
# * DOS(E_F): 1.380 states/eV per atom
# * energy relative to the elements, uncorrected: -0.5722 eV/atom
# * size of the total moment: 1.000 μB/atom
data_ScMnBr3
_cell_length_a 5.3568
_cell_length_b 5.3568
_cell_length_c 5.3568
_cell_angle_alpha 90.00
_cell_angle_beta 90.00
_cell_angle_gamma 90.00
_space_group_name_H-M_alt 'P m -3 m'
_space_group_IT_number 221
_space_group_name_Hall '-P 4 2 3'
loop_
_atom_site_label
_atom_site_type_symbol
_atom_site_fract_x
_atom_site_fract_y
_atom_site_fract_z
_atom_site_occupancy
Sc1 Sc 0.0000 0.0000 0.0000 1
Mn1 Mn 0.5000 0.5000 0.5000 1
Br1 Br 0.0000 0.0000 0.5000 1

***

Record 6
# PBE TaW, optimized geometry
# * formation energy from the elements: 0.8 eV/f.u.
# * E: -11.9940 eV per atom
# * DOS(E_F): 1.290 states/eV per atom
# * size of the total moment: 0.000 μB/atom
data_TaW
_cell_length_a 2.8255
_cell_length_b 2.8255
_cell_length_c 5.0768
_cell_angle_alpha 90.00
_cell_angle_beta 90.00
_cell_angle_gamma 120.00
_space_group_name_H-M_alt 'P -6 m 2'
_space_group_IT_number 187
_space_group_name_Hall 'P -6 2'
loop_
_atom_site_label
_atom_site_type_symbol
_atom_site_fract_x
_atom_site_fract_y
_atom_site_fract_z
_atom_site_occupancy
Ta1 Ta 0.0000 0.0000 0.0000 1
W1 W 0.3333 0.6667 0.5000 1